Compound: Ga2Hg2Ge
Source: Alexandria
Functional: PBE-GGA
Structure: relaxed

Calculated values
Total moment (μB per atom): 0.00
Symmetry: P4/mbm
E above lowest polymorph (eV per atom): 0.083
Formation enthalpy at 0 K (kJ/mol of formula units): 104

Structure (POSCAR):
```
Ga2Hg2Ge
1.0
-2.883 -7.680 -0.500
5.398 -1.637 -5.978
2.223 -0.983 2.276
Ge Hg Ga
2 4 4
Direct
0.000 0.000 0.000 Ge
0.500 0.500 0.000 Ge
0.328 0.828 0.000 Hg
0.828 0.672 0.000 Hg
0.672 0.172 0.000 Hg
0.172 0.328 0.000 Hg
0.129 0.629 0.500 Ga
0.629 0.871 0.500 Ga
0.871 0.371 0.500 Ga
0.371 0.129 0.500 Ga
```

Compound: Ga2Hg2Ge
Source: Alexandria
Functional: PBE-GGA
Structure: relaxed

Calculated values
Total moment (μB per atom): 0.00
Symmetry: P4/mbm
E above lowest polymorph (eV per atom): 0.000
Formation enthalpy at 0 K (kJ/mol of formula units): 64

Structure (POSCAR):
```
Ga2Hg2Ge
1.0
-3.548 4.205 -3.671
-5.183 -4.096 0.318
-1.726 2.540 4.578
Ge Hg Ga
2 4 4
Direct
0.000 0.000 0.000 Ge
0.500 0.500 0.000 Ge
0.292 0.792 0.500 Hg
0.792 0.708 0.500 Hg
0.708 0.208 0.500 Hg
0.208 0.292 0.500 Hg
0.364 0.864 0.000 Ga
0.864 0.636 0.000 Ga
0.636 0.136 0.000 Ga
0.136 0.364 0.000 Ga
```

Compound: GaHg3Ge
Source: Alexandria
Functional: PBE-GGA
Structure: relaxed

Calculated values
Total moment (μB per atom): 0.00
Symmetry: Pm-3m
E above lowest polymorph (eV per atom): 0.000
Formation enthalpy at 0 K (kJ/mol of formula units): 158

Structure (POSCAR):
```
GaHg3Ge
1.0
5.382 0.000 0.000
0.000 5.382 0.000
0.000 0.000 5.382
Ge Hg Ga
1 3 1
Direct
0.000 0.000 0.000 Ge
0.000 0.500 0.000 Hg
0.000 0.000 0.500 Hg
0.500 0.000 0.000 Hg
0.500 0.500 0.500 Ga
```